Nd3Ho2ErCoTe2: optimized geometry, PBE-GGA.

Cell lengths 4.013, 8.457, 8.457 Å; angles 120.01, 90.00, 90.00 degrees
Element x y z (fractional)
Co 0.500 0.000 0.000
Er 0.000 0.230 0.230
Ho 0.000 0.769 0.000
Ho 0.000 0.000 0.769
Nd 0.500 0.403 0.000
Nd 0.500 0.000 0.403
Nd 0.500 0.597 0.597
Te 0.000 0.667 0.333
Te 0.000 0.333 0.667

Total magnetization: 0.007 μB per cell
Calculated density: 8.3 g/cm3
Total DFT energy (no corrections): -47.80 eV for the cell shown